Run 1
A plane-wave DFT calculation with PBE was carried out for a relaxed structure of Pm2HoPt.

Cell and atoms, written as POSCAR:
```
Pm2HoPt
1.0
6.7523 0.0000 0.0000
0.0000 6.5407 0.0000
0.0000 0.0000 11.4476
Pm Ho Pt
8 4 4
Cartesian
0.5770 1.5413 0.9854
0.5770 1.7290 4.7384
2.7992 4.8117 4.7384
2.7992 4.9994 0.9854
3.9532 1.5413 10.4621
3.9532 1.7290 6.7092
6.1753 4.8117 6.7092
6.1753 4.9994 10.4621
0.3616 1.6352 8.5857
3.0145 4.9055 8.5857
3.7378 1.6352 2.8619
6.3907 4.9055 2.8619
1.6881 0.0000 6.7973
1.6881 3.2704 10.3741
5.0642 0.0000 4.6503
5.0642 3.2704 1.0735
```

Properties
Symmetry   Pnna (52)



Run 2
A plane-wave DFT calculation with PBE was carried out for a relaxed structure of Pm2HoPt.

Cell and atoms, written as POSCAR:
```
Pm2HoPt
1.0
3.6632 0.0000 0.0000
0.0000 3.6632 0.0000
0.0000 0.0000 8.4630
Pm Ho Pt
2 1 1
Cartesian
0.0000 0.0000 1.6859
0.0000 0.0000 6.7771
1.8316 1.8316 4.2315
1.8316 1.8316 0.0000
```

Properties
Symmetry   P4/mmm (123)



Stability summary: most stable run 1, least stable run 2.



Run 1
A plane-wave DFT calculation with PBE was carried out for a relaxed structure of Pm2HoPt.

Cell and atoms, written as POSCAR:
```
Pm2HoPt
1.0
1.7258 0.9964 11.2797
-1.7258 0.9964 11.2797
0.0000 -1.9928 11.2797
Pm Ho Pt
2 1 1
Cartesian
0.0000 0.0000 2.6881
0.0000 0.0000 31.1509
0.0000 0.0000 16.9195
0.0000 0.0000 0.0000
```

Properties
Symmetry   R-3m (166)



Run 2
A plane-wave DFT calculation with PBE was carried out for a relaxed structure of Pm2HoPt.

Cell and atoms, written as POSCAR:
```
Pm2HoPt
1.0
7.1259 0.0000 0.0000
0.0000 9.9324 0.0000
0.0000 0.0000 6.5485
Pm Ho Pt
8 4 4
Cartesian
1.2977 0.6060 1.1587
1.2977 4.3602 1.1587
2.2652 5.5722 4.4330
2.2652 9.3264 4.4330
4.8607 0.6060 2.1155
4.8607 4.3602 2.1155
5.8282 5.5722 5.3898
5.8282 9.3264 5.3898
0.2218 2.4831 4.2038
3.3411 7.4493 0.9295
3.7848 2.4831 5.6190
6.9041 7.4493 2.3447
0.8155 7.4493 6.2362
2.7475 2.4831 2.9620
4.3784 7.4493 3.5865
6.3104 2.4831 0.3123
```

Properties
Symmetry   Pnma (62)



Stability summary: most stable run 2, least stable run 1.



Run 1
A plane-wave DFT calculation with PBE was carried out for a relaxed structure of PmHoPt.

Cell and atoms, written as POSCAR:
```
PmHoPt
1.0
0.0000 3.4791 3.4791
3.4791 0.0000 3.4791
3.4791 3.4791 0.0000
Pm Ho Pt
1 1 1
Cartesian
0.0000 0.0000 0.0000
3.4791 3.4791 3.4791
1.7395 1.7395 1.7395
```

Properties
Symmetry   F-43m (216)



Run 2
A plane-wave DFT calculation with PBE was carried out for a relaxed structure of PmHoPt.

Cell and atoms, written as POSCAR:
```
PmHoPt
1.0
6.9115 0.0000 0.0000
0.0000 13.3951 0.0000
0.0000 0.0000 7.1675
Pm Ho Pt
8 8 8
Cartesian
1.3820 2.6535 0.7504
1.3820 4.0441 4.3342
2.0738 9.3511 0.7504
2.0738 10.7417 4.3342
4.8377 2.6535 2.8333
4.8377 4.0441 6.4170
5.5295 9.3511 2.8333
5.5295 10.7417 6.4170
0.0211 7.1144 5.4504
0.0211 12.9784 1.8667
3.4347 0.4168 5.4504
3.4347 6.2808 1.8667
3.4768 7.1144 5.3008
3.4768 12.9784 1.7171
6.8904 0.4168 5.3008
6.8904 6.2808 1.7171
1.5697 8.0587 3.2900
1.5697 12.0340 6.8737
1.8860 1.3612 3.2900
1.8860 5.3364 6.8737
5.0254 8.0587 0.2937
5.0254 12.0340 3.8775
5.3418 1.3612 0.2937
5.3418 5.3364 3.8775
```

Properties
Symmetry   Pbca (61)



Run 3
A plane-wave DFT calculation with PBE was carried out for a relaxed structure of PmHoPt.

Cell and atoms, written as POSCAR:
```
PmHoPt
1.0
4.6621 0.0000 0.0000
-2.3311 4.0375 0.0000
0.0000 0.0000 4.2375
Pm Ho Pt
1 1 1
Cartesian
0.0000 0.0000 0.0000
0.0000 2.6917 2.2027
2.3311 1.3458 1.3574
```

Properties
Symmetry   P3m1 (156)



Run 4
A plane-wave DFT calculation with PBE was carried out for a relaxed structure of PmHoPt.

Cell and atoms, written as POSCAR:
```
PmHoPt
1.0
4.7720 0.0000 0.0000
0.0000 6.1007 4.0418
0.0000 -6.1007 4.0418
Pm Ho Pt
3 3 3
Cartesian
0.0000 0.0000 0.0000
0.0000 -2.5064 4.7026
0.0000 2.5064 4.7026
2.3860 -1.6673 2.2924
2.3860 1.6673 2.2924
2.3860 0.0000 5.4735
0.0000 0.0000 3.0458
2.3860 -4.1491 3.5238
2.3860 4.1491 3.5238
```

Properties
Symmetry   Amm2 (38)



Stability summary: most stable run 2, least stable run 3.